Record 1
Below is an optimized crystal structure of BaAgSbS3, with properties calculated at the GGA-PBE level.

Unit cell a=6.2588 b=6.2588 c=17.4542 alpha=81.81 beta=81.81 gamma=81.67
Last column: nearest neighbours and their distance in Å.
Sites, in units of the cell vectors:
S 0.6991 0.5763 0.0796  1 Sb 2.45
S 0.3009 0.4237 0.9204  1 Sb 2.45
Ba 0.5529 0.7939 0.3882  7 S 3.25-3.38
Ag 0.7082 0.2918 0.2500  2 S 2.44
Sb 0.9692 0.6892 0.5791  3 S 2.45-2.52
Ag 0.0800 0.9200 0.2500  4 S 2.51-2.78
S 0.0664 0.9700 0.1056  1 Sb 2.47, 1 Ag 2.51
Ag 0.9200 0.0800 0.7500  4 S 2.51-2.78
S 0.4990 0.0321 0.2129  1 Ag 2.44, 1 Sb 2.52
Ba 0.2061 0.4471 0.1118  7 S 3.25-3.38
Ag 0.2918 0.7082 0.7500  2 S 2.44
Sb 0.6892 0.9692 0.0791  3 S 2.45-2.52
S 0.5010 0.9679 0.7871  1 Ag 2.44, 1 Sb 2.52
Sb 0.3108 0.0308 0.9209  3 S 2.45-2.52
Sb 0.0308 0.3108 0.4209  3 S 2.45-2.52
Ba 0.7939 0.5529 0.8882  7 S 3.25-3.38
Ba 0.4471 0.2061 0.6118  7 S 3.25-3.38
S 0.4237 0.3009 0.4204  1 Sb 2.45
S 0.5763 0.6991 0.5796  1 Sb 2.45
S 0.9700 0.0664 0.6056  1 Sb 2.47, 1 Ag 2.51
S 0.9336 0.0300 0.8944  1 Sb 2.47, 1 Ag 2.51
S 0.9679 0.5010 0.2871  1 Ag 2.44, 1 Sb 2.52
S 0.0300 0.9336 0.3944  1 Sb 2.47, 1 Ag 2.51
S 0.0321 0.4990 0.7129  1 Ag 2.44, 1 Sb 2.52

Offset from the most stable computed form in meV per atom: 0

Record 2
Below is an optimized crystal structure of BaAg2SbS4, with properties calculated at the GGA-PBE level.

Unit cell a=6.8630 b=6.5484 c=6.5484 alpha=79.36 beta=58.40 gamma=58.40
Last column: nearest neighbours and their distance in Å.
Sites, in units of the cell vectors:
Ba 0.0000 0.0000 0.0000  8 S 3.36
S 0.4043 0.1247 0.4842  1 Ag 2.47, 1 Sb 2.53
Sb 0.0000 0.5000 0.5000  4 S 2.53
S 0.0133 0.8753 0.5158  1 Ag 2.47, 1 Sb 2.53
S 0.9867 0.4842 0.1247  1 Ag 2.47, 1 Sb 2.53
Ag 0.5000 0.3113 0.6887  2 S 2.47
S 0.5957 0.5158 0.8753  1 Ag 2.47, 1 Sb 2.53
Ag 0.5000 0.6887 0.3113  2 S 2.47

Record 3
Below is an optimized crystal structure of BaAgSbS2, with properties calculated at the GGA-PBE level.

Unit cell a=5.1607 b=5.1953 c=5.1607 alpha=90.00 beta=90.00 gamma=90.00
Last column: nearest neighbours and their distance in Å.
Sites, in units of the cell vectors:
Ba 0.5000 0.5000 0.5000  4 Sb 3.65, 8 S 3.66
S 0.5000 0.0000 0.0000  2 Ag 2.58
S 0.0000 0.0000 0.5000  2 Ag 2.58
Sb 0.0000 0.5000 0.0000  2 Ag 2.60
Ag 0.0000 0.0000 0.0000  4 S 2.58, 2 Sb 2.60

Which total DFT energy (no corrections) belongs to each record? In order, -4.416 -4.118 -3.727 eV/atom.
Which energy relative to the elements, uncorrected belongs to each record? In order, -0.869 -0.586 -0.296 eV per atom.
Which volume belongs to each record? In order, 664.4 211.8 138.4 Å³ per cell.